{"formula": "Hg2W2O7", "functional": "PBE+U", "state": "relaxed", "lattice_angstrom": [[-2.736, 6.759, -1.171], [-5.688, 0.630, -4.828], [-7.874, 1.350, 3.065]], "species": ["W", "W", "O", "O", "O", "Hg", "Hg", "O", "O", "O", "Hg", "O", "O", "O", "O", "O", "W", "O", "Hg", "W", "O", "O"], "frac_coords": [[0.343, 0.841, 0.122], [0.657, 0.159, 0.878], [0.608, 0.601, 0.100], [0.738, 0.199, 0.357], [0.891, 0.898, 0.909], [0.356, 0.179, 0.618], [0.148, 0.319, 0.382], [0.230, 0.705, 0.356], [0.392, 0.399, 0.900], [0.254, 0.747, 0.999], [0.852, 0.681, 0.618], [0.507, 0.028, 0.839], [0.770, 0.295, 0.644], [0.746, 0.253, 0.001], [0.109, 0.102, 0.091], [0.001, 0.533, 0.840], [0.156, 0.660, 0.877], [0.493, 0.972, 0.161], [0.644, 0.821, 0.382], [0.844, 0.340, 0.123], [0.999, 0.467, 0.160], [0.262, 0.801, 0.643]], "total_energy_ev_per_atom": -6.031}